# 1
A plane-wave DFT calculation with PBE was carried out for crystalline Cd2SiPb at its relaxed geometry.

```
Cd2SiPb
1.0
3.288 0.000 0.000
0.000 3.288 0.000
0.000 0.000 8.731
Cd Si Pb
2 1 1
direct
0.000 0.000 0.000
0.500 0.500 0.244
0.500 0.500 0.789
0.000 0.000 0.540
```

## Properties
DOS at the Fermi energy   1.44 states/eV/f.u.
E_form (uncorrected)   0.283 eV per atom
Space group   P4mm (99)
ΔE to the lowest computed polymorph   1.36 kJ per mole of atoms
VASP energy   -2.46 eV/atom

---

# 2
A plane-wave DFT calculation with PBE was carried out for crystalline Cd2SiPb at its relaxed geometry.

```
Cd2SiPb
1.0
4.461 0.000 0.000
0.000 4.600 0.000
0.000 0.000 4.613
Cd Si Pb
2 1 1
direct
0.000 0.000 0.000
0.000 0.500 0.500
0.500 0.000 0.500
0.500 0.500 0.000
```

## Properties
DOS at the Fermi energy   1.53 states/eV/f.u.
E_form (uncorrected)   0.324 eV per atom
Space group   Pmmm (47)
ΔE to the lowest computed polymorph   5.37 kJ per mole of atoms
VASP energy   -2.42 eV/atom

---

# 3
A plane-wave DFT calculation with PBE was carried out for crystalline CdSiPb2 at its relaxed geometry.

```
CdSiPb2
1.0
7.134 0.000 0.000
0.000 8.540 0.000
-0.181 0.000 3.415
Cd Si Pb
2 2 4
direct
0.000 0.000 0.000
0.500 0.500 0.000
0.000 0.500 0.000
0.500 0.000 0.000
0.250 0.250 0.500
0.250 0.750 0.500
0.750 0.250 0.500
0.750 0.750 0.500
```

## Properties
DOS at the Fermi energy   1.66 states/eV/f.u.
E_form (uncorrected)   0.329 eV per atom
Space group   C2/m (12)
ΔE to the lowest computed polymorph   5.34 kJ per mole of atoms
VASP energy   -3.11 eV/atom

---

# 4
A plane-wave DFT calculation with PBE was carried out for crystalline Cd2SiPb at its relaxed geometry.

```
Cd2SiPb
1.0
7.275 0.000 0.000
0.000 7.275 0.000
0.000 0.000 7.275
Cd Si Pb
8 4 4
direct
0.250 0.250 0.250
0.250 0.250 0.750
0.250 0.750 0.250
0.250 0.750 0.750
0.750 0.250 0.250
0.750 0.250 0.750
0.750 0.750 0.250
0.750 0.750 0.750
0.000 0.000 0.000
0.000 0.500 0.500
0.500 0.000 0.500
0.500 0.500 0.000
0.000 0.000 0.500
0.000 0.500 0.000
0.500 0.000 0.000
0.500 0.500 0.500
```

## Properties
DOS at the Fermi energy   1.24 states/eV/f.u.
E_form (uncorrected)   0.375 eV per atom
Space group   Fm-3m (225)
ΔE to the lowest computed polymorph   10.29 kJ per mole of atoms
VASP energy   -2.37 eV/atom

---

# 5
A plane-wave DFT calculation with PBE was carried out for crystalline CdSi2Pb at its relaxed geometry.

```
CdSi2Pb
1.0
4.277 0.000 0.000
0.000 5.100 0.000
0.000 0.000 8.171
Cd Si Pb
2 4 2
direct
0.000 0.000 0.000
0.500 0.500 0.500
0.000 0.500 0.267
0.000 0.500 0.733
0.500 0.000 0.233
0.500 0.000 0.767
0.000 0.000 0.500
0.500 0.500 0.000
```

## Properties
DOS at the Fermi energy   1.92 states/eV/f.u.
E_form (uncorrected)   0.565 eV per atom
Space group   Immm (71)
ΔE to the lowest computed polymorph   33.32 kJ per mole of atoms
VASP energy   -3.30 eV/atom

---

# 6
A plane-wave DFT calculation with PBE was carried out for crystalline Cd4SiPb at its relaxed geometry.

```
Cd4SiPb
1.0
0.000 4.165 4.165
4.165 0.000 4.165
4.165 4.165 0.000
Cd Si Pb
4 1 1
direct
0.125 0.125 0.125
0.125 0.125 0.624
0.125 0.624 0.125
0.624 0.125 0.125
0.500 0.500 0.500
0.750 0.750 0.750
```

## Properties
DOS at the Fermi energy   1.45 states/eV/f.u.
E_form (uncorrected)   0.281 eV per atom
Space group   F-43m (216)
VASP energy   -1.85 eV/atom